First-principles (PBE) data for a relaxed structure of FeMoCl2, as listed in Alexandria via LeMat-Bulk.

For the uncorrected formation energy, the calculation gives -0.83 eV per formula unit. For the density of states at the Fermi level, the calculation gives 1.089 states/eV per cell. The calculation puts the energy relative to the lowest polymorph listed for this composition at 0 meV/atom. As for the space-group type: Cm.

Cell: 3.556 3.556 8.334 Å, 93.65 93.65 51.97°
Site moments in Bohr magnetons follow the coordinates.
Fractional coordinates of all 4 atoms:
Mo1 0.811 0.811 0.558  -0.23
Fe1 0.560 0.560 0.717  1.17
Cl1 0.886 0.886 0.891  0.02
Cl2 0.243 0.243 0.334  -0.02